No. 1
8
Lattice="-3.0798 3.0798 5.6676 3.0798 -3.0798 5.6676 3.0798 3.0798 -5.6676" Properties=species:S:1:pos:R:3 comment="CdHg2B | the Alexandria database | PBE | optimized geometry" crystal_system=tetragonal ef_ev_per_atom=0.676 magmom_total_mub_per_fu=0.00 e_above_lowest_polymorph_mev_per_atom=0 pbc="T T T"
Cd 0.0000 0.0000 0.0000
Cd 0.0000 3.0798 2.8338
Hg 1.5399 -0.7176 4.2507
Hg 2.3623 1.5399 1.4169
Hg 1.5399 3.7974 -1.4169
Hg 0.7176 1.5399 7.0845
B 3.0798 0.0000 2.8338
B 0.0000 0.0000 5.6676

***

No. 2
5
Lattice="5.3561 0.0000 0.0000 0.0000 5.3561 0.0000 0.0000 0.0000 5.3561" Properties=species:S:1:pos:R:3 comment="Cd3HgB | the Alexandria database | PBE | optimized geometry" crystal_system=cubic ef_ev_per_atom=1.252 magmom_total_mub_per_fu=0.49 e_above_lowest_polymorph_mev_per_atom=890 pbc="T T T"
Cd 0.0000 0.0000 2.6780
Cd 0.0000 2.6780 0.0000
Cd 2.6780 0.0000 0.0000
Hg 0.0000 0.0000 0.0000
B 2.6780 2.6780 2.6780

***

No. 3
5
Lattice="5.5783 0.0000 0.0000 0.0000 5.5783 0.0000 0.0000 0.0000 5.5783" Properties=species:S:1:pos:R:3 comment="CdHg3B | the Alexandria database | PBE | optimized geometry" crystal_system=cubic ef_ev_per_atom=1.218 magmom_total_mub_per_fu=0.96 e_above_lowest_polymorph_mev_per_atom=716 pbc="T T T"
Cd 0.0000 0.0000 0.0000
Hg 0.0000 0.0000 2.7891
Hg 0.0000 2.7891 0.0000
Hg 2.7891 0.0000 0.0000
B 2.7891 2.7891 2.7891

***

No. 4
8
Lattice="-1.8643 1.8643 9.9661 1.8643 -1.8643 9.9661 1.8643 1.8643 -9.9661" Properties=species:S:1:pos:R:3 comment="CdHgB2 | the Alexandria database | PBE | optimized geometry" crystal_system=tetragonal ef_ev_per_atom=1.181 magmom_total_mub_per_fu=0.00 e_above_lowest_polymorph_mev_per_atom=0 pbc="T T T"
Cd 1.8643 0.9322 2.4915
Cd 0.0000 0.9322 7.4745
Hg 1.8643 -0.9322 7.4745
Hg 0.0000 2.7965 2.4915
B 0.0000 0.0000 0.0000
B 0.9322 0.9322 -4.9830
B 0.9322 -0.9322 4.9830
B 0.0000 1.8643 0.0000

***

No. 5
4
Lattice="0.0000 3.4479 3.4479 3.4479 0.0000 3.4479 3.4479 3.4479 0.0000" Properties=species:S:1:pos:R:3 comment="CdHg2B | the Alexandria database | PBE | optimized geometry" crystal_system=cubic ef_ev_per_atom=1.004 magmom_total_mub_per_fu=0.00 e_above_lowest_polymorph_mev_per_atom=328 pbc="T T T"
Cd 0.0000 0.0000 0.0000
Hg 1.7240 1.7240 1.7240
Hg 5.1719 5.1719 5.1719
B 3.4479 3.4479 3.4479

***

No. 6
4
Lattice="0.0000 3.3996 3.3996 3.3996 0.0000 3.3996 3.3996 3.3996 0.0000" Properties=species:S:1:pos:R:3 comment="Cd2HgB | the Alexandria database | PBE | optimized geometry" crystal_system=cubic ef_ev_per_atom=0.901 magmom_total_mub_per_fu=0.00 e_above_lowest_polymorph_mev_per_atom=204 pbc="T T T"
Cd 1.6998 1.6998 1.6998
Cd 5.0994 5.0994 5.0994
Hg 0.0000 0.0000 0.0000
B 3.3996 3.3996 3.3996

***

No. 7
4
Lattice="0.0000 3.1300 3.1300 3.1300 0.0000 3.1300 3.1300 3.1300 0.0000" Properties=species:S:1:pos:R:3 comment="CdHgB2 | the Alexandria database | PBE | optimized geometry" crystal_system=cubic ef_ev_per_atom=1.618 magmom_total_mub_per_fu=0.00 e_above_lowest_polymorph_mev_per_atom=437 pbc="T T T"
Cd 0.0000 0.0000 0.0000
Hg 3.1300 3.1300 3.1300
B 1.5650 1.5650 1.5650
B 4.6950 4.6950 4.6950

***

No. 8
8
Lattice="-3.1434 3.1434 5.8001 3.1434 -3.1434 5.8001 3.1434 3.1434 -5.8001" Properties=species:S:1:pos:R:3 comment="Cd2HgB | the Alexandria database | PBE | optimized geometry" crystal_system=tetragonal ef_ev_per_atom=0.697 magmom_total_mub_per_fu=0.00 e_above_lowest_polymorph_mev_per_atom=0 pbc="T T T"
Cd 0.5939 1.5717 1.4500
Cd -1.5717 2.5495 4.3501
Cd -0.5939 4.7151 1.4500
Cd 1.5717 3.7373 4.3501
Hg 3.1434 0.0000 2.9001
Hg 0.0000 0.0000 5.8001
B 0.0000 0.0000 0.0000
B 0.0000 3.1434 2.9001

***

No. 9
10
Lattice="5.4785 0.0000 0.0000 2.7240 5.0162 0.0000 2.6192 0.7309 6.3104" Properties=species:S:1:pos:R:3 comment="Cd2HgBPd6 | the Alexandria database | PBE | optimized geometry" crystal_system=triclinic ef_ev_per_atom=-0.232 magmom_total_mub_per_fu=0.00 pbc="T T T"
Cd 2.5236 1.8744 1.8088
Cd 8.2981 3.8726 4.5016
Hg 5.4108 2.8735 3.1552
B 0.0000 0.0000 0.0000
Pd 3.6542 4.5898 1.8687
Pd 5.6933 3.8461 5.6602
Pd 4.4302 1.3562 5.4683
Pd 6.3914 4.3908 0.8421
Pd 5.1284 1.9010 0.6502
Pd 7.1675 1.1573 4.4417

***

No. 10
5
Lattice="5.1791 0.0000 0.0000 0.0000 5.1791 0.0000 0.0000 0.0000 4.0128" Properties=species:S:1:pos:R:3 comment="CdHgBRu2 | the Alexandria database | PBE | optimized geometry" crystal_system=tetragonal ef_ev_per_atom=1.957 magmom_total_mub_per_fu=4.19 pbc="T T T"
Cd 0.0000 0.0000 0.0000
Hg 2.5895 2.5895 2.0064
B 2.5895 2.5895 0.0000
Ru 0.0000 2.5895 2.0064
Ru 2.5895 0.0000 2.0064

***

No. 11
5
Lattice="5.2385 0.0000 0.0000 0.0000 5.2385 0.0000 0.0000 0.0000 5.5234" Properties=species:S:1:pos:R:3 comment="ScCdHg2B | the Alexandria database | PBE | optimized geometry" crystal_system=tetragonal ef_ev_per_atom=1.353 magmom_total_mub_per_fu=0.87 e_above_lowest_polymorph_mev_per_atom=880 pbc="T T T"
Sc 0.0000 0.0000 0.0000
Cd 0.0000 0.0000 2.7617
Hg 0.0000 2.6192 2.7617
Hg 2.6192 0.0000 2.7617
B 2.6192 2.6192 0.0000

***

No. 12
5
Lattice="4.7652 0.0000 0.0000 0.0000 4.7652 0.0000 0.0000 0.0000 4.4607" Properties=species:S:1:pos:R:3 comment="ScCdHg2B | the Alexandria database | PBE | optimized geometry" crystal_system=tetragonal ef_ev_per_atom=0.473 magmom_total_mub_per_fu=0.00 e_above_lowest_polymorph_mev_per_atom=0 pbc="T T T"
Sc 0.0000 0.0000 0.0000
Cd 2.3826 2.3826 0.0000
Hg 0.0000 2.3826 2.2303
Hg 2.3826 0.0000 2.2303
B 2.3826 2.3826 2.2303